[1]
Below is a relaxed structure of Hf2ZrZn2, with properties calculated at the PBE level.

Its calculated volume is 19.58 Å³ per atom. As for the relative energy among the computed polymorphs: 0.389 eV/f.u. The value obtained for the energy is -0.4589 Ry/atom.

The space group is Cmmm (No. 65) and the conventional cell measures 2.999, 21.135 and 3.089 Å, with angles of 90.00, 90.00 and 90.00 degrees. Symmetry generates all atoms from Hf at (0.000, 0.187, 0.000), Zr at (0.000, 0.000, 0.000) and Zn at (0.000, 0.405, 0.500).


[2]
Below is a relaxed structure of LaPm4Nd3Se8, with properties calculated at the PBE level.

The formation energy from raw total energies comes out at -1.854 eV per atom. Its calculated volume is 26.67 Å³ per atom. The value obtained for the energy is -0.4399 Ry/atom.

The space group is R-3m (No. 166, hexagonal axes) and the conventional cell measures 8.4506, 8.4506 and 20.7047 Å, with angles of 90.00, 90.00 and 120.00 degrees. Symmetry generates all atoms from La at (0.0000, 0.0000, 0.0000), Pm at (0.0000, 0.0000, 0.5000), Pm at (0.0000, 0.5000, 0.5000), Nd at (0.0000, 0.5000, 0.0000), Se at (0.0000, 0.0000, 0.2490) and Se at (0.0017, 0.5009, 0.2485).


[3]
Below is a relaxed structure of Pm5SiPb3, with properties calculated at the PBE level.

The formation energy from raw total energies comes out at -0.629 eV per atom. Its calculated volume is 29.51 Å³ per atom. The value obtained for the energy is -0.3753 Ry/atom.

The space group is P6_3/mcm (No. 193) and the conventional cell measures 9.6108, 9.6108 and 6.6415 Å, with angles of 90.00, 90.00 and 120.00 degrees. Symmetry generates all atoms from Pm at (0.0000, 0.2496, 0.2500), Pm at (0.3333, 0.6667, 0.0000), Si at (0.0000, 0.0000, 0.0000) and Pb at (0.0000, 0.3901, 0.7500).